Material: NaMn2WO8
Method: DFT, PBE with a Hubbard U
State: optimized geometry

Geometry as POSCAR:
```
NaMn2WO8
1.0
4.673 0.055 -0.003
0.102 4.663 -0.005
0.004 0.007 6.161
O W Mn Na
8 1 2 1
Cartesian
3.729 1.023 4.801
1.447 1.422 -0.002
1.053 3.705 4.800
1.050 3.701 1.351
3.727 1.020 1.352
1.580 1.550 3.078
3.332 3.303 6.155
3.199 3.175 3.075
0.000 0.000 0.000
2.389 2.361 1.556
2.391 2.364 4.596
0.002 0.003 3.080
```

Results
- total magnetic moment (μB/atom) = 0.42
- electronic total energy (eV/f.u.) = -80.1
- space-group type = No. 10
- DOS at the Fermi energy (states/eV/f.u.) = 5.1
- volume (Å³/cell) = 134